Record 1
This record from Alexandria describes a relaxed structure of Zr2GaPd4. The functional is GGA-PBE.

a b c (Å): 6.087 5.285 8.174
angles (deg): 90.00 109.90 90.00
Space group P2_1/m (No. 11)
Unique sites:
Zr 0.104 0.250 0.419 x2
Zr 0.280 0.750 0.014 x2
Ga 0.056 0.250 0.807 x2
Pd 0.231 0.250 0.140 x2
Pd 0.338 0.750 0.420 x2
Pd 0.355 0.505 0.723 x4

Summary:
Energy   -6.4546 eV/atom
Energy of formation from the pure elements   -612 meV per atom
Fermi-level density of states   0.5600 states/eV per atom

=====

Record 2
This record from Alexandria describes a relaxed structure of Zr2GaPd. The functional is GGA-PBE.

a b c (Å): 3.1004 3.1004 27.9703
angles (deg): 90.00 90.00 120.00
Space group R-3m (No. 166, hexagonal axes)
Unique sites:
Zr 0.0000 0.0000 0.2484 x6
Ga 0.0000 0.0000 0.0000 x3
Pd 0.0000 0.0000 0.5000 x3

Summary:
Energy   -6.6446 eV/atom
Energy of formation from the pure elements   -316 meV per atom
Fermi-level density of states   1.1228 states/eV per atom

=====

Record 3
This record from Alexandria describes a relaxed structure of Zr2GaPd. The functional is GGA-PBE.

a b c (Å): 4.148 4.148 19.369
angles (deg): 90.00 90.00 90.00
Space group I-42d (No. 122)
Unique sites:
Zr 0.241 0.250 0.125 x8
Ga 0.000 0.000 0.000 x4
Pd 0.000 0.000 0.500 x4

Summary:
Energy   -6.3017 eV/atom
Energy of formation from the pure elements   27 meV per atom
Fermi-level density of states   1.1841 states/eV per atom

=====

Record 4
This record from Alexandria describes a relaxed structure of ZrGaPd6. The functional is GGA-PBE.

a b c (Å): 7.803 5.469 7.245
angles (deg): 90.00 111.62 90.00
Space group C2/m (No. 12)
Unique sites:
Zr 0.000 0.000 0.000 x2
Ga 0.000 0.500 0.500 x2
Pd 0.155 0.000 0.443 x4
Pd 0.187 0.243 0.794 x8

Summary:
Energy relative to the lowest polymorph listed for this composition   335 meV per atom
Energy   -5.6735 eV/atom
Energy of formation from the pure elements   -332 meV per atom
Fermi-level density of states   0.4882 states/eV per atom

=====

Record 5
This record from Alexandria describes a relaxed structure of Zr2GaPd. The functional is GGA-PBE.

a b c (Å): 4.259 3.399 10.679
angles (deg): 90.00 90.00 90.00
Space group Amm2 (No. 38)
Unique sites:
Zr 0.000 0.000 0.000 x2
Zr 0.500 0.000 0.307 x2
Ga 0.500 0.000 0.574 x2
Pd 0.000 0.000 0.725 x2

Summary:
Energy   -6.9199 eV/atom
Energy of formation from the pure elements   -591 meV per atom
Fermi-level density of states   0.9840 states/eV per atom

=====

Record 6
This record from Alexandria describes a relaxed structure of Zr2GaPd. The functional is GGA-PBE.

a b c (Å): 4.3495 4.3495 15.0412
angles (deg): 90.00 90.00 120.00
Space group R3m (No. 160, hexagonal axes)
Unique sites:
Zr 0.0000 0.0000 0.0000 x3
Zr 0.0000 0.0000 0.2012 x3
Ga 0.0000 0.0000 0.4165 x3
Pd 0.0000 0.0000 0.7913 x3

Summary:
Energy   -6.6679 eV/atom
Energy of formation from the pure elements   -339 meV per atom
Fermi-level density of states   1.0279 states/eV per atom

=====

Record 7
This record from Alexandria describes a relaxed structure of Zr2GaPd. The functional is GGA-PBE.

a b c (Å): 3.085 3.085 7.855
angles (deg): 90.00 90.00 90.00
Space group P4/mmm (No. 123)
Unique sites:
Zr 0.000 0.000 0.249 x2
Ga 0.500 0.500 0.500 x1
Pd 0.500 0.500 0.000 x1

Summary:
Energy   -6.8971 eV/atom
Energy of formation from the pure elements   -568 meV per atom
Fermi-level density of states   1.0639 states/eV per atom

=====

Record 8
This record from Alexandria describes a relaxed structure of ZrGaPd3. The functional is GGA-PBE.

a b c (Å): 4.959 4.959 4.959
angles (deg): 90.00 90.00 90.00
Space group Pm-3m (No. 221)
Unique sites:
Zr 0.000 0.000 0.000 x1
Ga 0.500 0.500 0.500 x1
Pd 0.000 0.000 0.500 x3

Summary:
Energy relative to the lowest polymorph listed for this composition   1233 meV per atom
Energy   -4.8122 eV/atom
Energy of formation from the pure elements   618 meV per atom
Fermi-level density of states   0.6566 states/eV per atom

=====

Record 9
This record from Alexandria describes a relaxed structure of Zr4Ga6Pd7. The functional is GGA-PBE.

a b c (Å): 8.329 8.329 8.329
angles (deg): 90.00 90.00 90.00
Space group Im-3m (No. 229)
Unique sites:
Zr 0.250 0.250 0.250 x8
Ga 0.000 0.000 0.312 x12
Pd 0.000 0.000 0.000 x2
Pd 0.000 0.250 0.500 x12

Summary:
Energy   -5.9131 eV/atom
Energy of formation from the pure elements   -695 meV per atom
Fermi-level density of states   0.5594 states/eV per atom

=====

Record 10
This record from Alexandria describes a relaxed structure of Zr4Ga3Pd. The functional is GGA-PBE.

a b c (Å): 3.803 3.962 10.385
angles (deg): 90.00 90.00 90.00
Space group Pmm2 (No. 25)
Unique sites:
Zr 0.000 0.000 0.000 x1
Zr 0.000 0.500 0.289 x1
Zr 0.500 0.000 0.496 x1
Zr 0.500 0.500 0.788 x1
Ga 0.000 0.500 0.560 x1
Ga 0.500 0.000 0.223 x1
Ga 0.500 0.500 0.063 x1
Pd 0.000 0.000 0.725 x1

Summary:
Energy   -6.6444 eV/atom
Energy of formation from the pure elements   -586 meV per atom
Fermi-level density of states   0.8638 states/eV per atom

=====

Record 11
This record from Alexandria describes a relaxed structure of Zr6GaPd. The functional is GGA-PBE.

a b c (Å): 7.7712 7.7712 9.5125
angles (deg): 90.00 90.00 120.00
Space group R-3 (No. 148, hexagonal axes)
Unique sites:
Zr 0.0009 0.7508 0.2502 x18
Ga 0.0000 0.0000 0.0000 x3
Pd 0.0000 0.0000 0.5000 x3

Summary:
Energy   -7.7544 eV/atom
Energy of formation from the pure elements   -316 meV per atom
Fermi-level density of states   1.4411 states/eV per atom

=====

Record 12
This record from Alexandria describes a relaxed structure of Zr2Ga3Pd2. The functional is GGA-PBE.

a b c (Å): 9.829 4.007 6.751
angles (deg): 90.00 113.82 90.00
Space group C2/m (No. 12)
Unique sites:
Zr 0.138 0.000 0.272 x4
Ga 0.000 0.500 0.500 x2
Ga 0.158 0.000 0.715 x4
Pd 0.114 0.500 0.927 x4

Summary:
Energy relative to the lowest polymorph listed for this composition   15 meV per atom
Energy   -5.8531 eV/atom
Energy of formation from the pure elements   -630 meV per atom
Fermi-level density of states   0.4031 states/eV per atom

=====

Record 13
This record from Alexandria describes a relaxed structure of ZrGa3Pd6. The functional is GGA-PBE.

a b c (Å): 8.587 3.868 10.416
angles (deg): 90.00 103.71 90.00
Space group P2_1/m (No. 11)
Unique sites:
Zr 0.026 0.250 0.242 x2
Ga 0.121 0.250 0.585 x2
Ga 0.287 0.750 0.949 x2
Ga 0.390 0.250 0.322 x2
Pd 0.096 0.250 0.967 x2
Pd 0.189 0.750 0.433 x2
Pd 0.238 0.750 0.181 x2
Pd 0.285 0.750 0.710 x2
Pd 0.434 0.250 0.083 x2
Pd 0.435 0.250 0.577 x2

Summary:
Energy   -5.4489 eV/atom
Energy of formation from the pure elements   -570 meV per atom
Fermi-level density of states   0.4658 states/eV per atom

=====

Record 14
This record from Alexandria describes a relaxed structure of Zr2Ga3Pd2. The functional is GGA-PBE.

a b c (Å): 9.936 4.175 6.489
angles (deg): 90.00 114.28 90.00
Space group C2/m (No. 12)
Unique sites:
Zr 0.148 0.000 0.279 x4
Ga 0.000 0.500 0.500 x2
Ga 0.107 0.500 0.940 x4
Pd 0.146 0.000 0.721 x4

Summary:
Energy relative to the lowest polymorph listed for this composition   0 meV per atom
Energy   -5.8684 eV/atom
Energy of formation from the pure elements   -645 meV per atom
Fermi-level density of states   0.4705 states/eV per atom

=====

Record 15
This record from Alexandria describes a relaxed structure of ZrGaPd4. The functional is GGA-PBE.

a b c (Å): 3.415 3.415 8.458
angles (deg): 90.00 90.00 90.00
Space group P4/mmm (No. 123)
Unique sites:
Zr 0.000 0.000 0.000 x1
Ga 0.500 0.500 0.500 x1
Pd 0.000 0.000 0.341 x2
Pd 0.500 0.500 0.169 x2

Summary:
Energy   -5.9842 eV/atom
Energy of formation from the pure elements   -593 meV per atom
Fermi-level density of states   0.3745 states/eV per atom

=====

Record 16
This record from Alexandria describes a relaxed structure of ZrGaPd3. The functional is GGA-PBE.

a b c (Å): 4.596 4.596 4.596
angles (deg): 90.00 90.00 90.00
Space group Pm-3m (No. 221)
Unique sites:
Zr 0.000 0.000 0.000 x1
Ga 0.500 0.500 0.500 x1
Pd 0.000 0.500 0.500 x3

Summary:
Energy relative to the lowest polymorph listed for this composition   626 meV per atom
Energy   -5.4195 eV/atom
Energy of formation from the pure elements   11 meV per atom
Fermi-level density of states   1.2340 states/eV per atom

=====

Record 17
This record from Alexandria describes a relaxed structure of Zr6Ga2Pd. The functional is GGA-PBE.

a b c (Å): 9.231 9.231 4.370
angles (deg): 90.00 90.00 90.00
Space group P4_2/mnm (No. 136)
Unique sites:
Zr 0.028 0.324 0.000 x8
Zr 0.133 0.867 0.500 x4
Ga 0.207 0.207 0.500 x4
Pd 0.000 0.000 0.000 x2

Summary:
Energy   -7.3017 eV/atom
Energy of formation from the pure elements   -353 meV per atom
Fermi-level density of states   1.2131 states/eV per atom

=====

Record 18
This record from Alexandria describes a relaxed structure of Pm8Ga3. The functional is GGA-PBE.

a b c (Å): 9.9316 9.9316 12.4719
angles (deg): 90.00 90.00 120.00
Space group R-3 (No. 148, hexagonal axes)
Unique sites:
Pm 0.0000 0.0000 0.1483 x6
Pm 0.0406 0.2507 0.6132 x18
Ga 0.0000 0.5000 0.5000 x9

Summary:
Energy   -4.3977 eV/atom
Energy of formation from the pure elements   -117 meV per atom
Fermi-level density of states   1.6701 states/eV per atom

=====

Record 19
This record from Alexandria describes a relaxed structure of PmGa5. The functional is GGA-PBE.

a b c (Å): 5.7328 5.7328 4.2833
angles (deg): 90.00 90.00 120.00
Space group P-62m (No. 189)
Unique sites:
Pm 0.0000 0.0000 0.0000 x1
Ga 0.0000 0.5729 0.5000 x3
Ga 0.3333 0.6667 0.0000 x2

Summary:
Energy relative to the lowest polymorph listed for this composition   118 meV per atom
Energy   -3.5426 eV/atom
Energy of formation from the pure elements   -228 meV per atom
Fermi-level density of states   0.3043 states/eV per atom

=====

Record 20
This record from Alexandria describes a relaxed structure of PmGa5. The functional is GGA-PBE.

a b c (Å): 4.213 12.146 4.700
angles (deg): 90.00 90.00 90.00
Space group Cmmm (No. 65)
Unique sites:
Pm 0.000 0.000 0.000 x2
Ga 0.000 0.174 0.500 x4
Ga 0.000 0.315 0.000 x4
Ga 0.000 0.500 0.500 x2

Summary:
Energy relative to the lowest polymorph listed for this composition   32 meV per atom
Energy   -3.6285 eV/atom
Energy of formation from the pure elements   -314 meV per atom
Fermi-level density of states   0.3935 states/eV per atom